No. 1
# Dy8GaS6 (PBE-GGA, optimized geometry)
# - raw formation energy (eV per atom) = -1.5046
# - energy (eV per cell) = -87.18
data_Dy8GaS6
_chemical_formula_sum 'Dy8 Ga1 S6'
_space_group_name_H-M_alt 'P -3'
_space_group_IT_number 147
_cell_length_a 10.1677
_cell_length_b 10.1677
_cell_length_c 3.9155
_cell_angle_alpha 90.00
_cell_angle_beta 90.00
_cell_angle_gamma 120.00
loop_
_space_group_symop_operation_xyz
'x,y,z'
'-x,-y,-z'
'-y,x-y,z'
'y,-x+y,-z'
'-x+y,-x,z'
'x-y,x,-z'
loop_
_atom_site_label
_atom_site_fract_x
_atom_site_fract_y
_atom_site_fract_z
Dy1 0.0338 0.3298 0.2522
Dy2 0.3333 0.6667 0.7486
Ga1 0.0000 0.0000 0.5000
S1 0.1353 0.6519 0.2501

No. 2
# Dy3GaS2 (PBE-GGA, optimized geometry)
# - raw formation energy (eV per atom) = -1.5494
# - energy (eV per cell) = -68.77
data_Dy3GaS2
_chemical_formula_sum 'Dy6 Ga2 S4'
_space_group_name_H-M_alt 'I m m m'
_space_group_IT_number 71
_space_group_name_Hall '-I 2 2'
_cell_length_a 3.8867
_cell_length_b 5.6646
_cell_length_c 12.3092
_cell_angle_alpha 90.00
_cell_angle_beta 90.00
_cell_angle_gamma 90.00
loop_
_atom_site_label
_atom_site_fract_x
_atom_site_fract_y
_atom_site_fract_z
Dy1 0.0000 0.0000 0.0000
Dy2 0.0000 0.0000 0.3264
Ga1 0.0000 0.5000 0.0000
S1 0.0000 0.5000 0.3338

No. 3
# DyGaS (PBE-GGA, optimized geometry)
# - raw formation energy (eV per atom) = -1.1860
# - energy (eV per cell) = -91.89
data_DyGaS
_chemical_formula_sum 'Dy6 Ga6 S6'
_space_group_name_H-M_alt 'R -3 m'
_space_group_IT_number 166
_space_group_name_Hall '-R 3 2"'
_cell_length_a 4.1369
_cell_length_b 4.1369
_cell_length_c 31.4662
_cell_angle_alpha 90.00
_cell_angle_beta 90.00
_cell_angle_gamma 120.00
loop_
_atom_site_label
_atom_site_fract_x
_atom_site_fract_y
_atom_site_fract_z
Dy1 0.0000 0.0000 0.0759
Ga1 0.0000 0.0000 0.3395
S1 0.0000 0.0000 0.2209

No. 4
# Dy4GaS2 (PBE-GGA, optimized geometry)
# - raw formation energy (eV per atom) = -1.3459
# - energy (eV per cell) = -156.45
data_Dy4GaS2
_chemical_formula_sum 'Dy16 Ga4 S8'
_space_group_name_H-M_alt 'C m c m'
_space_group_IT_number 63
_space_group_name_Hall '-C 2c 2'
_cell_length_a 3.8950
_cell_length_b 12.9104
_cell_length_c 13.3703
_cell_angle_alpha 90.00
_cell_angle_beta 90.00
_cell_angle_gamma 90.00
loop_
_atom_site_label
_atom_site_fract_x
_atom_site_fract_y
_atom_site_fract_z
Dy1 0.0000 0.0000 0.0000
Dy2 0.0000 0.2716 0.1205
Dy3 0.0000 0.4379 0.7500
Ga1 0.0000 0.1085 0.7500
S1 0.0000 0.3639 0.5601

No. 5
# Dy3Ga5S12 (PBE-GGA, optimized geometry)
# - raw formation energy (eV per atom) = -1.1542
# - energy (eV per cell) = -812.43
data_Dy3Ga5S12
_chemical_formula_sum 'Dy24 Ga40 S96'
_space_group_name_H-M_alt 'I a -3 d'
_space_group_IT_number 230
_space_group_name_Hall '-I 4bd 2c 3'
_cell_length_a 15.0567
_cell_length_b 15.0567
_cell_length_c 15.0567
_cell_angle_alpha 90.00
_cell_angle_beta 90.00
_cell_angle_gamma 90.00
loop_
_atom_site_label
_atom_site_fract_x
_atom_site_fract_y
_atom_site_fract_z
Dy1 0.0000 0.2500 0.1250
Ga1 0.0000 0.0000 0.0000
Ga2 0.0000 0.2500 0.3750
S1 0.0262 0.0594 0.6505

No. 6
# Dy2GaS4 (PBE-GGA, optimized geometry)
# - raw formation energy (eV per atom) = -1.4864
# - energy (eV per cell) = -78.29
data_Dy2GaS4
_chemical_formula_sum 'Dy4 Ga2 S8'
_space_group_name_H-M_alt 'C 1 2/m 1'
_space_group_IT_number 12
_cell_length_a 13.9500
_cell_length_b 3.9144
_cell_length_c 6.9325
_cell_angle_alpha 90.00
_cell_angle_beta 118.56
_cell_angle_gamma 90.00
loop_
_space_group_symop_operation_xyz
'x,y,z'
'-x,-y,-z'
'-x,y,-z'
'x,-y,z'
'x+1/2,y+1/2,z'
'-x+1/2,-y+1/2,-z'
'-x+1/2,y+1/2,-z'
'x+1/2,-y+1/2,z'
loop_
_atom_site_label
_atom_site_fract_x
_atom_site_fract_y
_atom_site_fract_z
Dy1 0.2253 0.0000 0.2167
Ga1 0.0000 0.5000 0.5000
S1 0.1200 0.5000 0.9283
S2 0.1353 0.0000 0.4913

No. 7
# Dy4GaSbS9 (PBE-GGA, optimized geometry)
# - raw formation energy (eV per atom) = -1.5446
# - energy (eV per cell) = -686.99
data_Dy4GaSbS9
_chemical_formula_sum 'Dy32 Ga8 Sb8 S72'
_space_group_name_H-M_alt 'A e a 2'
_space_group_IT_number 41
_cell_length_a 13.5374
_cell_length_b 13.8616
_cell_length_c 14.1945
_cell_angle_alpha 90.00
_cell_angle_beta 90.00
_cell_angle_gamma 90.00
loop_
_space_group_symop_operation_xyz
'x,y,z'
'-x,-y,z'
'-x+1/2,y+1/2,z'
'x+1/2,-y+1/2,z'
'x,y+1/2,z+1/2'
'-x,-y+1/2,z+1/2'
'-x+1/2,y,z+1/2'
'x+1/2,-y,z+1/2'
loop_
_atom_site_label
_atom_site_fract_x
_atom_site_fract_y
_atom_site_fract_z
Dy1 0.0994 0.1723 0.0000
Dy2 0.1045 0.1091 0.5452
Dy3 0.1873 0.1652 0.2801
Dy4 0.1886 0.3903 0.5074
Ga1 0.0901 0.3940 0.7716
Sb1 0.1132 0.4174 0.2344
S1 0.0000 0.0000 0.3654
S2 0.0000 0.0000 0.9936
S3 0.0154 0.1948 0.1801
S4 0.0698 0.2548 0.4241
S5 0.0828 0.0939 0.7409
S6 0.0993 0.4085 0.0604
S7 0.1895 0.3001 0.8670
S8 0.1974 0.4864 0.6826
S9 0.2442 0.2323 0.6122
S10 0.2455 0.0580 0.9279

No. 8
# Dy6GaSe3S2 (PBE-GGA, optimized geometry)
# - raw formation energy (eV per atom) = -1.6587
# - energy (eV per cell) = -138.51
data_Dy6GaSe3S2
_chemical_formula_sum 'Dy12 Ga2 Se6 S4'
_space_group_name_H-M_alt 'C 1 2/m 1'
_space_group_IT_number 12
_cell_length_a 17.7640
_cell_length_b 3.9640
_cell_length_c 8.2218
_cell_angle_alpha 90.00
_cell_angle_beta 104.47
_cell_angle_gamma 90.00
loop_
_space_group_symop_operation_xyz
'x,y,z'
'-x,-y,-z'
'-x,y,-z'
'x,-y,z'
'x+1/2,y+1/2,z'
'-x+1/2,-y+1/2,-z'
'-x+1/2,y+1/2,-z'
'x+1/2,-y+1/2,z'
loop_
_atom_site_label
_atom_site_fract_x
_atom_site_fract_y
_atom_site_fract_z
Dy1 0.0036 0.0000 0.2476
Dy2 0.1633 0.5000 0.0930
Dy3 0.1708 0.5000 0.5704
Ga1 0.0000 0.5000 0.0000
Se1 0.0000 0.5000 0.5000
Se2 0.1680 0.0000 0.8295
S1 0.1686 0.0000 0.3349

No. 9
# Dy4GaSe2S (PBE-GGA, optimized geometry)
# - raw formation energy (eV per atom) = -1.5492
# - energy (eV per cell) = -44.93
data_Dy4GaSe2S
_chemical_formula_sum 'Dy4 Ga1 Se2 S1'
_space_group_name_H-M_alt 'P 1 2/m 1'
_space_group_IT_number 10
_cell_length_a 7.0533
_cell_length_b 4.0046
_cell_length_c 7.1340
_cell_angle_alpha 90.00
_cell_angle_beta 108.91
_cell_angle_gamma 90.00
loop_
_space_group_symop_operation_xyz
'x,y,z'
'-x,-y,-z'
'-x,y,-z'
'x,-y,z'
loop_
_atom_site_label
_atom_site_fract_x
_atom_site_fract_y
_atom_site_fract_z
Dy1 0.2457 0.0000 0.2338
Dy2 0.2526 0.5000 0.7586
Ga1 0.5000 0.0000 0.0000
Se1 0.0000 0.0000 0.5000
Se2 0.5000 0.5000 0.5000
S1 0.0000 0.5000 0.0000

No. 10
# Dy6GaSe2S3 (PBE-GGA, optimized geometry)
# - raw formation energy (eV per atom) = -1.7010
# - energy (eV per cell) = -140.81
data_Dy6GaSe2S3
_chemical_formula_sum 'Dy12 Ga2 Se4 S6'
_space_group_name_H-M_alt 'C 1 2/m 1'
_space_group_IT_number 12
_cell_length_a 6.9878
_cell_length_b 12.0456
_cell_length_c 6.9230
_cell_angle_alpha 90.00
_cell_angle_beta 109.53
_cell_angle_gamma 90.00
loop_
_space_group_symop_operation_xyz
'x,y,z'
'-x,-y,-z'
'-x,y,-z'
'x,-y,z'
'x+1/2,y+1/2,z'
'-x+1/2,-y+1/2,-z'
'-x+1/2,y+1/2,-z'
'x+1/2,-y+1/2,z'
loop_
_atom_site_label
_atom_site_fract_x
_atom_site_fract_y
_atom_site_fract_z
Dy1 0.2378 0.0000 0.2407
Dy2 0.2485 0.1624 0.7593
Ga1 0.0000 0.0000 0.5000
Se1 0.0000 0.3337 0.5000
S1 0.0000 0.1698 0.0000
S2 0.0000 0.5000 0.0000

No. 11
# Dy8Ga3Se4S (PBE-GGA, optimized geometry)
# - raw formation energy (eV per atom) = -1.3572
# - energy (eV per cell) = -257.03
data_Dy8Ga3Se4S
_chemical_formula_sum 'Dy24 Ga9 Se12 S3'
_space_group_name_H-M_alt 'R -3 m'
_space_group_IT_number 166
_space_group_name_Hall '-R 3 2"'
_cell_length_a 8.0677
_cell_length_b 8.0677
_cell_length_c 20.7429
_cell_angle_alpha 90.00
_cell_angle_beta 90.00
_cell_angle_gamma 120.00
loop_
_atom_site_label
_atom_site_fract_x
_atom_site_fract_y
_atom_site_fract_z
Dy1 0.0000 0.0000 0.2495
Dy2 0.0022 0.5011 0.7471
Ga1 0.0000 0.5000 0.0000
Se1 0.0000 0.0000 0.5000
Se2 0.0000 0.5000 0.5000
S1 0.0000 0.0000 0.0000

No. 12
# Dy4GaSiS2 (PBE-GGA, optimized geometry)
# - raw formation energy (eV per atom) = -1.3115
# - energy (eV per cell) = -91.21
data_Dy4GaSiS2
_chemical_formula_sum 'Dy8 Ga2 Si2 S4'
_space_group_name_H-M_alt 'I -4 m 2'
_space_group_IT_number 119
_space_group_name_Hall 'I -4 -2'
_cell_length_a 5.6986
_cell_length_b 5.6986
_cell_length_c 11.3870
_cell_angle_alpha 90.00
_cell_angle_beta 90.00
_cell_angle_gamma 90.00
loop_
_atom_site_label
_atom_site_fract_x
_atom_site_fract_y
_atom_site_fract_z
Dy1 0.0000 0.0000 0.2417
Dy2 0.0000 0.5000 0.5040
Ga1 0.0000 0.0000 0.5000
Si1 0.0000 0.5000 0.2500
S1 0.0000 0.0000 0.0000
S2 0.0000 0.5000 0.7500

No. 13
# Dy8GaTe4S3 (PBE-GGA, optimized geometry)
# - raw formation energy (eV per atom) = -1.4979
# - energy (eV per cell) = -266.28
data_Dy8GaTe4S3
_chemical_formula_sum 'Dy24 Ga3 Te12 S9'
_space_group_name_H-M_alt 'R -3 m'
_space_group_IT_number 166
_space_group_name_Hall '-R 3 2"'
_cell_length_a 8.2085
_cell_length_b 8.2085
_cell_length_c 21.1289
_cell_angle_alpha 90.00
_cell_angle_beta 90.00
_cell_angle_gamma 120.00
loop_
_atom_site_label
_atom_site_fract_x
_atom_site_fract_y
_atom_site_fract_z
Dy1 0.0000 0.0000 0.2348
Dy2 0.0007 0.5003 0.7625
Ga1 0.0000 0.0000 0.5000
Te1 0.0000 0.0000 0.0000
Te2 0.0000 0.5000 0.0000
S1 0.0000 0.5000 0.5000

No. 14
# Dy4GaTeS2 (PBE-GGA, optimized geometry)
# - raw formation energy (eV per atom) = -1.4471
# - energy (eV per cell) = -44.41
data_Dy4GaTeS2
_chemical_formula_sum 'Dy4 Ga1 Te1 S2'
_space_group_name_H-M_alt 'P 1 2/m 1'
_space_group_IT_number 10
_cell_length_a 7.1355
_cell_length_b 3.9794
_cell_length_c 7.2116
_cell_angle_alpha 90.00
_cell_angle_beta 108.43
_cell_angle_gamma 90.00
loop_
_space_group_symop_operation_xyz
'x,y,z'
'-x,-y,-z'
'-x,y,-z'
'x,-y,z'
loop_
_atom_site_label
_atom_site_fract_x
_atom_site_fract_y
_atom_site_fract_z
Dy1 0.2277 0.0000 0.2231
Dy2 0.2362 0.5000 0.7539
Ga1 0.5000 0.0000 0.0000
Te1 0.5000 0.5000 0.5000
S1 0.0000 0.0000 0.5000
S2 0.0000 0.5000 0.0000

No. 15
# Dy8Ga3Te4S (PBE-GGA, optimized geometry)
# - raw formation energy (eV per atom) = -1.1328
# - energy (eV per cell) = -242.15
data_Dy8Ga3Te4S
_chemical_formula_sum 'Dy24 Ga9 Te12 S3'
_space_group_name_H-M_alt 'R -3 m'
_space_group_IT_number 166
_space_group_name_Hall '-R 3 2"'
_cell_length_a 8.3190
_cell_length_b 8.3190
_cell_length_c 21.6353
_cell_angle_alpha 90.00
_cell_angle_beta 90.00
_cell_angle_gamma 120.00
loop_
_atom_site_label
_atom_site_fract_x
_atom_site_fract_y
_atom_site_fract_z
Dy1 0.0000 0.0000 0.2442
Dy2 0.0009 0.5004 0.2410
Ga1 0.0000 0.5000 0.5000
Te1 0.0000 0.0000 0.0000
Te2 0.0000 0.5000 0.0000
S1 0.0000 0.0000 0.5000

No. 16
# Dy3Tl3GaS8 (PBE-GGA, optimized geometry)
# - raw formation energy (eV per atom) = -1.1952
# - energy (eV per cell) = -149.76
data_Dy3Tl3GaS8
_chemical_formula_sum 'Dy6 Tl6 Ga2 S16'
_space_group_name_H-M_alt 'C 1 2/m 1'
_space_group_IT_number 12
_cell_length_a 13.6945
_cell_length_b 7.9049
_cell_length_c 8.6696
_cell_angle_alpha 90.00
_cell_angle_beta 121.84
_cell_angle_gamma 90.00
loop_
_space_group_symop_operation_xyz
'x,y,z'
'-x,-y,-z'
'-x,y,-z'
'x,-y,z'
'x+1/2,y+1/2,z'
'-x+1/2,-y+1/2,-z'
'-x+1/2,y+1/2,-z'
'x+1/2,-y+1/2,z'
loop_
_atom_site_label
_atom_site_fract_x
_atom_site_fract_y
_atom_site_fract_z
Dy1 0.0000 0.0000 0.0000
Dy2 0.2500 0.2500 0.0000
Tl1 0.0000 0.5000 0.5000
Tl2 0.2500 0.2500 0.5000
Ga1 0.0000 0.5000 0.0000
S1 0.0136 0.2676 0.8088
S2 0.2187 0.5000 0.1914
S3 0.2344 0.0000 0.2029